Entry 1:
Density functional theory data (PBE-GGA) for crystalline Hg2SbAu at its relaxed geometry.

Summary:
**Crystal system**: trigonal
**Symmetry**: R3m, No. 160
**E_form (uncorrected)**: 0.18 eV/f.u.
**DOS at the Fermi energy**: 1.98 states/eV per cell
**Uncorrected energy**: -1.95 eV/atom

a b c (Å): 7.4063 7.4063 7.4063
angles (deg): 32.69 32.69 32.69
With the nearest neighbours (Å) after each atom.
Element x y z (fractional)
Hg (0.0000, 0.0000, 0.0000)  3 Hg 3.07, 3 Sb 3.14
Hg (0.2430, 0.2430, 0.2430)  3 Au 2.96, 3 Hg 3.07
Sb (0.7630, 0.7630, 0.7630)  3 Au 2.76
Au (0.4943, 0.4943, 0.4943)  3 Sb 2.76, 3 Hg 2.96

---

Entry 2:
Density functional theory data (PBE-GGA) for crystalline NaTbSm2Te4 at its relaxed geometry.

Summary:
**Crystal system**: monoclinic
**Symmetry**: P2/m, No. 10
**E_form (uncorrected)**: -10.78 eV/f.u.
**DOS at the Fermi energy**: 3.28 states/eV per cell
**Uncorrected energy**: -4.84 eV/atom

a b c (Å): 7.7079 4.4076 7.7125
angles (deg): 90.00 108.96 90.00
With the nearest neighbours (Å) after each atom.
Element x y z (fractional)
Na (0.0000, 0.0000, 0.0000)  6 Te 3.12-3.14
Tb (0.5000, 0.5000, 0.0000)  6 Te 3.11-3.12
Sm (0.0000, 0.5000, 0.5000)  6 Te 3.16-3.17
Sm (0.5000, 0.0000, 0.5000)  6 Te 3.15-3.16
Te (0.2513, 0.5000, 0.2473)  1 Tb 3.11, 2 Na 3.14, 3 Sm 3.15-3.16
Te (0.2521, 0.0000, 0.7557)  1 Na 3.12, 2 Tb 3.12, 3 Sm 3.16-3.17
Te (0.7479, 0.0000, 0.2443)  1 Na 3.12, 2 Tb 3.12, 3 Sm 3.16-3.17
Te (0.7487, 0.5000, 0.7527)  1 Tb 3.11, 2 Na 3.14, 3 Sm 3.15-3.16

---

Entry 3:
Density functional theory data (PBE-GGA) for crystalline CaSc2Mo2 at its relaxed geometry.

Summary:
**Crystal system**: tetragonal
**Symmetry**: P4/mbm, No. 127
**DOS at the Fermi energy**: 14.23 states/eV per cell
**Formation enthalpy at 0 K**: 0.30 eV per atom
**Energy above the most stable polymorph in this dataset**: 0.0000 eV/atom
**Uncorrected energy**: -6.97 eV/atom

a b c (Å): 8.2818 8.2818 3.2227
angles (deg): 90.00 90.00 90.00
With the nearest neighbours (Å) after each atom.
Element x y z (fractional)
Ca (0.0000, 0.0000, 0.0000)  2 Ca 3.22, 4 Mo 3.41, 8 Sc 3.42
Ca (0.5000, 0.5000, 0.0000)  2 Ca 3.22, 4 Mo 3.41, 8 Sc 3.42
Sc (0.1890, 0.3110, 0.5000)  6 Mo 2.95-2.98, 2 Sc 3.22
Sc (0.3110, 0.8110, 0.5000)  6 Mo 2.95-2.98, 2 Sc 3.22
Sc (0.6890, 0.1890, 0.5000)  6 Mo 2.95-2.98, 2 Sc 3.22
Sc (0.8110, 0.6890, 0.5000)  6 Mo 2.95-2.98, 2 Sc 3.22
Mo (0.1001, 0.6001, 0.0000)  1 Mo 2.35
Mo (0.3999, 0.1001, 0.0000)  1 Mo 2.35
Mo (0.6001, 0.8999, 0.0000)  1 Mo 2.35
Mo (0.8999, 0.3999, 0.0000)  1 Mo 2.35